Record 1
First-principles (PBE) data for a relaxed structure of ErTm2Lu4Ni2Se2, as listed in the Open Quantum Materials Database.

extended XYZ file:
```
11
Lattice="-1.869 7.368 4.580 1.869 -7.368 4.580 1.869 7.368 -4.580" Properties=species:S:1:pos:R:3 pbc="T T T"
Lu 1.869 2.708 -1.142
Lu 0.000 4.660 3.438
Lu 1.869 -2.077 2.143
Lu 1.869 2.077 2.143
Er 0.000 0.000 9.125
Ni 0.000 3.484 0.641
Ni 0.000 11.251 0.641
Tm 0.000 1.871 5.321
Tm 1.869 5.497 0.741
Se 0.000 0.000 3.075
Se 0.000 7.368 2.165
```

VASP energy = -58.8 eV per cell



Record 2
First-principles (PBE) data for a relaxed structure of NdSiO3, as listed in the Open Quantum Materials Database.

extended XYZ file:
```
10
Lattice="2.653 -1.532 -4.322 -2.653 -1.532 -4.322 0.000 3.063 -4.322" Properties=species:S:1:pos:R:3 pbc="T T T"
O 1.324 -0.770 -5.403
O -1.324 0.770 -7.564
O 1.329 0.761 -7.564
O 0.005 1.532 -5.403
O -0.005 -1.532 -7.564
O -1.329 -0.761 -5.403
Nd 0.000 0.000 -3.242
Nd 0.000 0.000 -9.725
Si 0.000 0.000 0.000
Si 0.000 0.000 -6.483
```

VASP energy = -74.3 eV per cell



Record 3
First-principles (PBE) data for a relaxed structure of NdNiW, as listed in the Open Quantum Materials Database.

extended XYZ file:
```
3
Lattice="1.679 -3.747 1.757 1.190 -0.110 4.303 -2.407 -2.369 2.922" Properties=species:S:1:pos:R:3 pbc="T T T"
Ni 0.000 0.000 0.000
Nd 0.115 -1.556 2.246
W 0.346 -4.669 6.737
```

calculated formation energy = 0.843 eV per atom
distance to the lowest polymorph of the same formula = 0 meV/atom



Record 4
First-principles (PBE) data for a relaxed structure of Dy2GaCo2, as listed in the Open Quantum Materials Database.

extended XYZ file:
```
10
Lattice="4.665 -2.670 0.000 4.665 2.670 0.000 -1.865 0.000 7.310" Properties=species:S:1:pos:R:3 pbc="T T T"
Dy 4.820 0.803 4.720
Dy 2.645 -0.803 2.590
Dy 1.712 0.803 6.245
Dy 5.753 -0.803 1.065
Co 5.059 -1.881 3.700
Co 2.406 1.881 3.610
Co 5.992 1.881 0.045
Co 1.473 -1.881 7.265
Ga 3.266 -1.963 5.482
Ga 4.199 1.963 1.827
```

VASP energy = -57.0 eV per cell



Record 5
First-principles (PBE) data for a relaxed structure of TaPPtO, as listed in the Open Quantum Materials Database.

extended XYZ file:
```
8
Lattice="4.809 0.000 0.000 0.000 4.809 0.000 0.000 0.000 4.730" Properties=species:S:1:pos:R:3 pbc="T T T"
O 2.404 2.404 0.000
O 0.000 0.000 0.000
Pt 0.000 2.404 0.836
Pt 2.404 0.000 3.894
P 2.404 0.000 1.521
P 0.000 2.404 3.209
Ta 2.404 2.404 2.365
Ta 0.000 0.000 2.365
```

distance to the lowest polymorph of the same formula = 431 meV/atom



Record 6
First-principles (PBE) data for a relaxed structure of CsAuSeS2, as listed in the Open Quantum Materials Database.

extended XYZ file:
```
10
Lattice="-0.066 2.865 7.126 -3.995 -5.834 -2.998 6.848 -3.343 0.214" Properties=species:S:1:pos:R:3 pbc="T T T"
S -2.792 -3.207 2.113
S 1.445 -3.005 0.295
S 1.341 -3.308 4.048
S 5.579 -3.106 2.230
Cs -1.735 -5.457 -1.533
Cs 4.522 -0.856 5.875
Au 3.429 -3.275 3.059
Au -0.642 -3.038 1.283
Se 1.879 -6.707 -0.935
Se 0.908 0.395 5.278
```

VASP energy = -36.6 eV per cell



Record 7
First-principles (PBE) data for a relaxed structure of ScTlCoHg, as listed in the Open Quantum Materials Database.

extended XYZ file:
```
4
Lattice="1.069 -4.557 0.691 -3.271 -3.336 -0.746 0.403 -2.923 -3.699" Properties=species:S:1:pos:R:3 pbc="T T T"
Tl 0.000 0.000 0.000
Sc -0.450 -2.704 -0.938
Co -1.349 -8.112 -2.815
Hg -0.899 -5.408 -1.877
```

distance to the lowest polymorph of the same formula = 0 meV/atom



Record 8
First-principles (PBE) data for a relaxed structure of CdFeBiAu, as listed in the Open Quantum Materials Database.

extended XYZ file:
```
4
Lattice="-2.947 1.161 3.692 -4.739 0.744 -0.812 -3.277 -3.220 1.602" Properties=species:S:1:pos:R:3 pbc="T T T"
Bi 0.000 0.000 0.000
Fe -8.222 -0.986 3.362
Cd -5.482 -0.657 2.241
Au -2.741 -0.329 1.121
```

distance to the lowest polymorph of the same formula = 0 meV/atom



Record 9
First-principles (PBE) data for a relaxed structure of PrTmAlIr2, as listed in the Open Quantum Materials Database.

extended XYZ file:
```
5
Lattice="2.590 -1.406 4.803 -4.291 -2.135 2.963 2.663 -1.169 -4.827" Properties=species:S:1:pos:R:3 pbc="T T T"
Pr 2.289 -1.990 1.529
Tm -1.327 -2.720 1.411
Ir 0.541 -2.315 -0.940
Ir 0.421 -2.393 3.875
Al -0.001 -0.002 0.005
```

VASP energy = -35.0 eV per cell



Record 10
First-principles (PBE) data for a relaxed structure of NaCd2, as listed in the Open Quantum Materials Database.

extended XYZ file:
```
6
Lattice="-4.842 -0.903 3.347 -4.755 3.528 -0.630 -4.979 -2.128 -2.478" Properties=species:S:1:pos:R:3 pbc="T T T"
Cd -1.822 0.062 0.030
Cd -4.200 1.826 -0.285
Cd -4.243 -0.389 1.704
Cd -4.311 -1.002 -1.209
Na -10.932 0.373 0.179
Na -7.288 0.249 0.120
```

VASP energy = -7.0 eV per cell



Record 11
First-principles (PBE) data for a relaxed structure of MoPdPt, as listed in the Open Quantum Materials Database.

extended XYZ file:
```
3
Lattice="-1.390 1.982 4.154 1.390 -1.982 4.154 1.390 1.982 -4.154" Properties=species:S:1:pos:R:3 pbc="T T T"
Pd 0.000 0.000 5.524
Mo 0.000 0.000 8.296
Pt 0.000 0.000 2.794
```

calculated formation energy = -0.257 eV per atom
distance to the lowest polymorph of the same formula = 0 meV/atom



Record 12
First-principles (PBE) data for a relaxed structure of K2ReF8, as listed in the Open Quantum Materials Database.

extended XYZ file:
```
44
Lattice="8.295 0.000 0.000 0.000 5.686 0.000 0.000 0.000 11.956" Properties=species:S:1:pos:R:3 pbc="T T T"
Re 2.371 1.422 7.436
Re 5.924 4.265 4.520
Re 1.776 4.265 1.458
Re 6.519 1.422 10.498
F 7.262 5.507 11.245
F 2.281 4.265 11.500
F 6.619 0.223 8.939
F 3.339 3.070 1.367
F 6.013 1.422 0.455
F 1.676 3.066 3.017
F 3.114 3.023 6.689
F 1.033 0.180 0.711
F 4.956 0.227 10.589
F 2.471 0.223 8.995
F 4.956 2.616 10.589
F 5.824 5.463 2.961
F 0.809 0.227 7.345
F 3.339 5.459 1.367
F 0.809 2.616 7.345
F 6.429 4.265 6.433
F 8.173 4.265 1.935
F 3.114 5.507 6.689
F 5.824 3.066 2.961
F 0.121 1.422 10.021
F 5.181 0.180 5.267
F 1.866 1.422 5.522
F 4.269 1.422 7.913
F 7.486 5.459 4.611
F 4.026 4.265 4.043
F 2.471 2.620 8.995
F 7.262 3.023 11.245
F 1.676 5.463 3.017
F 1.033 2.663 0.711
F 7.486 3.070 4.611
F 6.619 2.620 8.939
F 5.181 2.663 5.267
K 2.760 1.422 11.260
K 3.698 1.422 3.459
K 6.908 1.422 6.674
K 7.846 1.422 2.519
K 1.387 4.265 5.282
K 4.597 4.265 8.497
K 0.449 4.265 9.437
K 5.535 4.265 0.696
```

VASP energy = -224.8 eV per cell



Record 13
First-principles (PBE) data for a relaxed structure of Ni3N4, as listed in the Open Quantum Materials Database.

extended XYZ file:
```
14
Lattice="8.029 0.000 0.000 -4.015 6.953 0.000 0.000 0.000 2.920" Properties=species:S:1:pos:R:3 pbc="T T T"
N 1.071 2.256 2.190
N 2.489 0.201 0.730
N 6.611 2.056 0.730
N 0.000 4.636 0.730
N 4.015 2.318 2.190
N 2.944 4.697 0.730
N -2.596 4.898 2.190
N 1.525 6.753 2.190
Ni -1.642 5.366 0.730
Ni 3.826 4.105 2.190
Ni 2.561 1.261 2.190
Ni 0.189 2.848 0.730
Ni 5.657 1.588 2.190
Ni 1.453 5.693 0.730
```

VASP energy = -88.0 eV per cell



Record 14
First-principles (PBE) data for a relaxed structure of HoTmCoGe2, as listed in the Open Quantum Materials Database.

extended XYZ file:
```
10
Lattice="5.163 -2.086 0.000 5.163 2.086 0.000 -4.666 0.000 8.955" Properties=species:S:1:pos:R:3 pbc="T T T"
Tm -1.495 0.000 2.985
Tm 7.155 0.000 5.970
Ge 1.524 0.000 3.920
Ge 4.425 0.000 1.110
Ge 1.236 0.000 7.845
Ge 4.137 0.000 5.036
Ho 1.404 0.000 1.025
Ho 4.257 0.000 7.930
Co 5.849 0.000 3.133
Co -0.189 0.000 5.823
```

VASP energy = -58.4 eV per cell



Record 15
First-principles (PBE) data for a relaxed structure of LuReSb, as listed in the Open Quantum Materials Database.

extended XYZ file:
```
3
Lattice="0.201 0.028 4.607 0.532 3.984 2.260 -3.495 1.745 2.450" Properties=species:S:1:pos:R:3 pbc="T T T"
Lu -0.691 1.439 2.329
Sb -2.072 4.318 6.988
Re 0.000 0.000 0.000
```

distance to the lowest polymorph of the same formula = 0 meV/atom



Record 16
First-principles (PBE) data for a relaxed structure of AcZn, as listed in the Open Quantum Materials Database.

extended XYZ file:
```
16
Lattice="6.409 0.000 0.000 0.000 17.681 0.000 0.000 0.000 4.287" Properties=species:S:1:pos:R:3 pbc="T T T"
Ac 6.056 6.145 2.144
Ac 5.765 9.498 0.000
Ac 2.490 11.535 0.000
Ac 2.781 8.183 2.144
Ac 2.781 0.657 2.144
Ac 2.490 14.986 0.000
Ac 5.765 17.023 0.000
Ac 6.056 2.695 2.144
Zn 5.557 13.260 0.000
Zn 1.399 4.420 0.000
Zn 2.988 4.420 2.144
Zn 3.616 5.831 0.000
Zn 0.737 13.260 2.144
Zn 4.929 14.671 2.144
Zn 4.929 11.850 2.144
Zn 3.616 3.009 0.000
```

calculated formation energy = -0.107 eV per atom



Record 17
First-principles (PBE) data for a relaxed structure of NdAlGe, as listed in the Open Quantum Materials Database.

extended XYZ file:
```
9
Lattice="7.320 0.000 0.000 -3.660 6.339 0.000 0.000 0.000 4.310" Properties=species:S:1:pos:R:3 pbc="T T T"
Ge 0.000 0.000 2.155
Ge 0.000 4.226 0.000
Ge 3.660 2.113 0.000
Al 0.938 1.624 0.000
Al 5.444 0.000 0.000
Al -2.722 4.715 0.000
Nd 2.847 0.000 2.155
Nd 2.237 3.874 2.155
Nd -1.423 2.465 2.155
```

VASP energy = -44.5 eV per cell



Record 18
First-principles (PBE) data for a relaxed structure of FeAg3N2, as listed in the Open Quantum Materials Database.

extended XYZ file:
```
12
Lattice="-2.852 5.776 2.652 2.852 -5.776 2.652 2.852 5.776 -2.652" Properties=species:S:1:pos:R:3 pbc="T T T"
Ag 0.000 0.000 3.978
Ag 0.000 8.661 1.326
Ag 2.852 2.885 1.326
Ag 0.000 2.892 1.326
Ag 2.852 -2.885 1.326
Ag 0.000 0.000 1.326
N 1.975 -0.963 2.652
N 1.975 0.963 0.000
N 0.877 4.813 2.652
N 0.877 6.739 0.000
Fe 0.000 5.776 1.326
Fe 2.852 0.000 1.326
```

VASP energy = -58.5 eV per cell



Record 19
First-principles (PBE) data for a relaxed structure of Dy2ErTm3OsS2, as listed in the Open Quantum Materials Database.

extended XYZ file:
```
9
Lattice="-3.706 1.101 -0.819 -2.301 -2.562 6.974 2.387 7.344 -0.935" Properties=species:S:1:pos:R:3 pbc="T T T"
S -1.022 4.606 1.283
S -2.598 1.277 3.941
Er 0.035 1.923 2.429
Os 0.000 0.024 0.030
Tm -3.554 -0.166 6.327
Tm -0.045 7.247 0.408
Tm -1.789 4.135 4.118
Dy 1.020 5.817 3.202
Dy -0.884 1.795 6.413
```

VASP energy = -53.9 eV per cell



Record 20
First-principles (PBE) data for a relaxed structure of HoScTe2, as listed in the Open Quantum Materials Database.

extended XYZ file:
```
4
Lattice="-2.842 0.187 -3.073 3.852 -1.446 -0.794 -2.168 -6.653 1.600" Properties=species:S:1:pos:R:3 pbc="T T T"
Te -2.265 -5.433 -1.093
Te 1.106 -2.479 -1.174
Sc 0.000 0.000 0.000
Ho -1.084 -3.327 0.800
```

VASP energy = -22.1 eV per cell



Record 21
First-principles (PBE) data for a relaxed structure of CoH, as listed in the Open Quantum Materials Database.

extended XYZ file:
```
2
Lattice="2.454 0.000 0.000 -1.227 2.125 0.000 0.000 0.000 2.482" Properties=species:S:1:pos:R:3 pbc="T T T"
Co 1.227 0.708 1.862
H 0.000 1.417 0.621
```

VASP energy = -9.9 eV per cell



Record 22
First-principles (PBE) data for a relaxed structure of TbGdPbN, as listed in the Open Quantum Materials Database.

extended XYZ file:
```
8
Lattice="-2.754 -2.024 1.050 0.612 0.518 -3.484 9.277 -12.763 -0.266" Properties=species:S:1:pos:R:3 pbc="T T T"
Pb 6.455 -9.912 -2.172
Pb 0.680 -4.357 -0.528
Gd 3.350 -5.640 -2.084
Gd 3.785 -8.629 -0.617
Tb 6.874 -12.879 -0.705
Tb 0.261 -1.390 -1.995
N 0.000 0.000 0.000
N 4.638 -6.381 -0.133
```

VASP energy = -51.3 eV per cell



Record 23
First-principles (PBE) data for a relaxed structure of GdHoCo2B2N2, as listed in the Open Quantum Materials Database.

extended XYZ file:
```
8
Lattice="3.491 0.000 0.000 0.000 3.491 0.000 0.000 0.000 7.448" Properties=species:S:1:pos:R:3 pbc="T T T"
B 1.746 1.746 2.611
B 0.000 0.000 4.832
Co 0.000 1.746 3.728
Co 1.746 0.000 3.728
N 1.746 1.746 1.094
N 0.000 0.000 6.339
Ho 1.746 1.746 6.198
Gd 0.000 0.000 1.261
```

VASP energy = -62.1 eV per cell